# 1
A plane-wave DFT calculation with GGA-PBE was carried out for Mn2BeBr after structural relaxation.

a = 3.2049 Å, b = 3.2062 Å, c = 6.5293 Å
α = 90.00°, β = 90.47°, γ = 90.00°
Fractional coordinates of all 4 atoms:
Mn1 0.0000 0.0000 0.0000
Mn2 0.4956 0.5000 0.7503
Be1 0.9938 0.0000 0.6480
Br1 0.5041 0.5000 0.2255

D(E_F)	0.357	states/eV/atom
formation energy without anion corrections	0.37	eV per atom
offset from the most stable computed form	104	meV/atom



# 2
A plane-wave DFT calculation with GGA-PBE was carried out for MnBeBr2 after structural relaxation.

a = 3.2790 Å, b = 3.2790 Å, c = 7.5480 Å
α = 90.00°, β = 90.00°, γ = 90.00°
Fractional coordinates of all 4 atoms:
Mn1 0.0000 0.0000 0.0000
Be1 0.5000 0.5000 0.1337
Br1 0.0000 0.0000 0.3275
Br2 0.5000 0.5000 0.7935

D(E_F)	0.405	states/eV/atom
formation energy without anion corrections	0.10	eV per atom
offset from the most stable computed form	243	meV/atom



# 3
A plane-wave DFT calculation with GGA-PBE was carried out for MnBeBr2 after structural relaxation.

a = 3.5991 Å, b = 3.5991 Å, c = 10.0898 Å
α = 90.00°, β = 90.00°, γ = 126.49°
Fractional coordinates of all 4 atoms:
Mn1 0.0000 0.0000 0.0000
Be1 0.0000 0.0000 0.5000
Br1 0.5000 0.5000 0.3428
Br2 0.5000 0.5000 0.6572

D(E_F)	0.271	states/eV/atom
formation energy without anion corrections	0.22	eV per atom
offset from the most stable computed form	366	meV/atom



# 4
A plane-wave DFT calculation with GGA-PBE was carried out for Mn2BeBr after structural relaxation.

a = 3.0915 Å, b = 3.0278 Å, c = 6.8543 Å
α = 90.00°, β = 90.06°, γ = 90.00°
Fractional coordinates of all 4 atoms:
Mn1 0.0002 0.0000 0.1865
Mn2 0.9998 0.0000 0.8135
Be1 0.5000 0.5000 0.0000
Br1 0.0000 0.5000 0.5000

D(E_F)	0.529	states/eV/atom
formation energy without anion corrections	0.30	eV per atom
offset from the most stable computed form	26	meV/atom



# 5
A plane-wave DFT calculation with GGA-PBE was carried out for MnBeBr2 after structural relaxation.

a = 5.0282 Å, b = 3.5062 Å, c = 5.0537 Å
α = 90.00°, β = 95.82°, γ = 90.00°
Fractional coordinates of all 4 atoms:
Mn1 0.0000 0.0000 0.0000
Be1 0.5000 0.0000 0.5000
Br1 0.2635 0.5000 0.7365
Br2 0.7365 0.5000 0.2635

D(E_F)	0.476	states/eV/atom
formation energy without anion corrections	0.38	eV per atom
offset from the most stable computed form	525	meV/atom



# 6
A plane-wave DFT calculation with GGA-PBE was carried out for Mn2BeBr after structural relaxation.

a = 6.6136 Å, b = 6.6136 Å, c = 3.1530 Å
α = 90.06°, β = 90.06°, γ = 29.28°
Fractional coordinates of all 4 atoms:
Mn1 0.0000 0.0000 0.0000
Mn2 0.1792 0.1792 0.5054
Be1 0.5475 0.5475 0.4987
Br1 0.8007 0.8007 0.0047

D(E_F)	0.613	states/eV/atom
formation energy without anion corrections	0.35	eV per atom
offset from the most stable computed form	83	meV/atom



> offset from the most stable computed form of number 3 (MnBeBr2)?

366 meV/atom



> Which of these has the lowest D(E_F)?

number 3



> The highest formation energy without anion corrections belongs to which entry?

number 5



> Which of these has the lowest D(E_F)?

number 3